AcPr12Sm6 | PBE | relaxed

Lattice parameters (Å, degrees): 8.852 8.852 8.852 88.86 88.86 88.86
Positions (direct):
Ac (0.000, 0.000, 0.000)
Pr (0.016, 0.199, 0.363)
Pr (0.199, 0.363, 0.016)
Pr (0.221, 0.462, 0.569)
Pr (0.363, 0.016, 0.199)
Pr (0.431, 0.779, 0.538)
Pr (0.462, 0.569, 0.221)
Pr (0.538, 0.431, 0.779)
Pr (0.569, 0.221, 0.462)
Pr (0.637, 0.984, 0.801)
Pr (0.779, 0.538, 0.431)
Pr (0.801, 0.637, 0.984)
Pr (0.984, 0.801, 0.637)
Sm (0.098, 0.694, 0.261)
Sm (0.261, 0.098, 0.694)
Sm (0.306, 0.739, 0.902)
Sm (0.694, 0.261, 0.098)
Sm (0.739, 0.902, 0.306)
Sm (0.902, 0.306, 0.739)

Values from the calculation:
As for the crystal system: trigonal. As for the final energy: -4.60 eV per atom. Its total magnetization is 0.00 μB/cell. The value obtained for the volume is 36.48 A^3/atom. The value obtained for the theoretical density is 6755 kg/m3.